# TeAsWSe2 (GGA-PBE, optimized geometry)
data_TeAsWSe2
_symmetry_space_group_name_H-M 'P 4/m m m'
_symmetry_Int_Tables_number 123
_symmetry_space_group_name_Hall '-P 4 2'
_cell_length_a 4.838
_cell_length_b 4.838
_cell_length_c 5.198
_cell_angle_alpha 90.00
_cell_angle_beta 90.00
_cell_angle_gamma 90.00
loop_
_atom_site_label
_atom_site_type_symbol
_atom_site_fract_x
_atom_site_fract_y
_atom_site_fract_z
Te1 Te 0.000 0.000 0.000
As1 As 0.500 0.500 0.000
W1 W 0.500 0.500 0.500
Se1 Se 0.000 0.500 0.500
# - D(E_F) (states/eV/cell) = 4.94
# - E_form (uncorrected) (meV per atom) = 404
# - energy relative to the lowest polymorph listed for this composition (meV per atom) = 0
# - volume (Å³/f.u.) = 122
# - E (eV/atom) = -5.14

# CsMo2AuI (GGA-PBE, optimized geometry)
data_CsMo2AuI
_symmetry_space_group_name_H-M 'P 4/m m m'
_symmetry_Int_Tables_number 123
_symmetry_space_group_name_Hall '-P 4 2'
_cell_length_a 5.283
_cell_length_b 5.283
_cell_length_c 7.385
_cell_angle_alpha 90.00
_cell_angle_beta 90.00
_cell_angle_gamma 90.00
loop_
_atom_site_label
_atom_site_type_symbol
_atom_site_fract_x
_atom_site_fract_y
_atom_site_fract_z
Cs1 Cs 0.000 0.000 0.000
Mo1 Mo 0.000 0.500 0.500
Au1 Au 0.500 0.500 0.500
I1 I 0.500 0.500 0.000
# - D(E_F) (states/eV/cell) = 4.31
# - E_form (uncorrected) (meV per atom) = 1342
# - volume (Å³/f.u.) = 206
# - E (eV/atom) = -4.13

# Pr2Sm5Cd3 (GGA-PBE, optimized geometry)
data_Pr2Sm5Cd3
_symmetry_space_group_name_H-M 'I b a m'
_symmetry_Int_Tables_number 72
_symmetry_space_group_name_Hall '-I 2 2c'
_cell_length_a 13.755
_cell_length_b 13.925
_cell_length_c 6.962
_cell_angle_alpha 90.00
_cell_angle_beta 90.00
_cell_angle_gamma 90.00
loop_
_atom_site_label
_atom_site_type_symbol
_atom_site_fract_x
_atom_site_fract_y
_atom_site_fract_z
Pr1 Pr 0.156 0.209 0.000
Sm1 Sm 0.000 0.000 0.250
Sm2 Sm 0.070 0.329 0.500
Sm3 Sm 0.228 0.500 0.250
Cd1 Cd 0.000 0.500 0.250
Cd2 Cd 0.138 0.128 0.500
# - D(E_F) (states/eV/cell) = 50.32
# - volume (Å³/f.u.) = 333
# - E_form (eV per atom) = 0.03
# - E (eV/atom) = -3.56

# Tb2Ho6Tl (GGA-PBE, optimized geometry)
data_Tb2Ho6Tl
_symmetry_space_group_name_H-M 'P -1'
_symmetry_Int_Tables_number 2
_cell_length_a 6.053
_cell_length_b 8.748
_cell_length_c 10.601
_cell_angle_alpha 101.86
_cell_angle_beta 90.20
_cell_angle_gamma 97.19
loop_
_symmetry_equiv_pos_as_xyz
'x,y,z'
'-x,-y,-z'
loop_
_atom_site_label
_atom_site_type_symbol
_atom_site_fract_x
_atom_site_fract_y
_atom_site_fract_z
Tb1 Tb 0.142 0.335 0.473
Tb2 Tb 0.250 0.000 0.583
Ho1 Ho 0.161 0.339 0.132
Ho2 Ho 0.161 0.345 0.817
Ho3 Ho 0.240 0.995 0.249
Ho4 Ho 0.254 0.997 0.919
Ho5 Ho 0.356 0.664 0.361
Ho6 Ho 0.359 0.668 0.695
Tl1 Tl 0.342 0.675 0.031
# - D(E_F) (states/eV/cell) = 24.42
# - energy relative to the lowest polymorph listed for this composition (meV per atom) = 0
# - volume (Å³/f.u.) = 272
# - E_form (eV per atom) = -0.05
# - E (eV/atom) = -4.39